1.
Na2CaIn2Hg2 after structural relaxation. Source: Alexandria, functional GGA-PBE.

The space group is R-3m (No. 166, hexagonal axes) and the conventional cell measures 5.0710, 5.0710 and 25.8894 Å, with angles of 90.00, 90.00 and 120.00 degrees. The inequivalent atoms are Na at (0.0000, 0.0000, 0.1332), Ca at (0.0000, 0.0000, 0.0000), In at (0.0000, 0.0000, 0.2671) and Hg at (0.0000, 0.0000, 0.3977).

As for the energy of formation from the pure elements: -0.271 eV/atom. The value obtained for the total magnetization is 0.00 μB/f.u.

2.
MgRhAu2 after structural relaxation. Source: Alexandria, functional GGA-PBE.

The space group is F-43m (No. 216) and the conventional cell measures 6.450, 6.450 and 6.450 Å, with angles of 90.00, 90.00 and 90.00 degrees. The inequivalent atoms are Mg at (0.000, 0.000, 0.000), Rh at (0.250, 0.250, 0.750), Au at (0.000, 0.000, 0.500) and Au at (0.250, 0.250, 0.250).

As for the energy of formation from the pure elements: -0.256 eV/atom. The value obtained for the total magnetization is 0.00 μB/f.u.

3.
TaTiC2 after structural relaxation. Source: Alexandria, functional GGA-PBE.

The space group is Fm-3m (No. 225) and the conventional cell measures 5.513, 5.513 and 5.513 Å, with angles of 90.00, 90.00 and 90.00 degrees. The inequivalent atoms are Ta at (0.000, 0.000, 0.000), Ti at (0.000, 0.000, 0.500) and C at (0.250, 0.250, 0.250).

The energy above the most stable polymorph in this dataset is 1160 meV per atom. As for the energy of formation from the pure elements: 0.412 eV/atom. The value obtained for the total magnetization is 0.00 μB/f.u.

4.
Tc2RhSe after structural relaxation. Source: Alexandria, functional GGA-PBE.

The space group is P4/mmm (No. 123) and the conventional cell measures 3.716, 3.716 and 4.380 Å, with angles of 90.00, 90.00 and 90.00 degrees. The inequivalent atoms are Tc at (0.000, 0.500, 0.000), Rh at (0.000, 0.000, 0.500) and Se at (0.500, 0.500, 0.500).

The value obtained for the total magnetization is 0.00 μB/f.u. For the total energy, the calculation gives -7.48 eV per atom.

5.
NaLaErAl after structural relaxation. Source: Alexandria, functional GGA-PBE.

The space group is F-43m (No. 216) and the conventional cell measures 7.633, 7.633 and 7.633 Å, with angles of 90.00, 90.00 and 90.00 degrees. The inequivalent atoms are Na at (0.000, 0.000, 0.000), La at (0.250, 0.250, 0.750), Er at (0.250, 0.250, 0.250) and Al at (0.000, 0.000, 0.500).

As for the energy of formation from the pure elements: -0.045 eV/atom. The value obtained for the total magnetization is 0.00 μB/f.u.

6.
Ba3ZrCu2O8 after structural relaxation. Source: Alexandria, functional GGA-PBE.

The space group is P-3m1 (No. 164) and the conventional cell measures 5.8971, 5.8971 and 7.6112 Å, with angles of 90.00, 90.00 and 120.00 degrees. The inequivalent atoms are Ba at (0.0000, 0.0000, 0.0000), Ba at (0.3333, 0.6667, 0.6490), Zr at (0.0000, 0.0000, 0.5000), Cu at (0.3333, 0.6667, 0.2150), O at (0.1649, 0.3299, 0.3340) and O at (0.3333, 0.6667, 0.9814).

The value obtained for the total magnetization is 4.04 μB/f.u. For the total energy, the calculation gives -6.39 eV per atom.

7.
SmTm3N4 after structural relaxation. Source: Alexandria, functional GGA-PBE.

The space group is P2/c (No. 13) and the conventional cell measures 5.976, 6.907 and 5.975 Å, with angles of 90.00, 109.47 and 90.00 degrees. The inequivalent atoms are Sm at (0.000, 0.127, 0.250), Tm at (0.000, 0.377, 0.750), Tm at (0.500, 0.128, 0.750), Tm at (0.500, 0.376, 0.250), N at (0.252, 0.379, 0.505) and N at (0.259, 0.131, 0.998).

The value obtained for the total magnetization is 0.00 μB/f.u. For the total energy, the calculation gives -8.15 eV per atom.

8.
Ta4O after structural relaxation. Source: Alexandria, functional GGA-PBE.

The space group is Pm-3m (No. 221) and the conventional cell measures 4.297, 4.297 and 4.297 Å, with angles of 90.00, 90.00 and 90.00 degrees. The inequivalent atoms are Ta at (0.000, 0.000, 0.000), Ta at (0.000, 0.500, 0.500) and O at (0.500, 0.500, 0.500).

The energy above the most stable polymorph in this dataset is 29 meV per atom. The value obtained for the total magnetization is 0.00 μB/f.u.

9.
NaZn4Cr after structural relaxation. Source: Alexandria, functional GGA-PBE.

The space group is F-43m (No. 216) and the conventional cell measures 7.367, 7.367 and 7.367 Å, with angles of 90.00, 90.00 and 90.00 degrees. The inequivalent atoms are Na at (0.000, 0.000, 0.000), Zn at (0.124, 0.124, 0.624) and Cr at (0.250, 0.250, 0.250).

As for the energy of formation from the pure elements: 0.123 eV/atom. The value obtained for the total magnetization is 4.52 μB/f.u.

10.
Sm6In3Hg after structural relaxation. Source: Alexandria, functional GGA-PBE.

The space group is Pnnm (No. 58) and the conventional cell measures 9.305, 12.291 and 5.355 Å, with angles of 90.00, 90.00 and 90.00 degrees. The inequivalent atoms are Sm at (0.001, 0.248, 0.000), Sm at (0.165, 0.090, 0.500), Sm at (0.169, 0.410, 0.500), In at (0.000, 0.500, 0.000), In at (0.166, 0.735, 0.500) and Hg at (0.000, 0.000, 0.000).

The energy above the most stable polymorph in this dataset is 66 meV per atom. As for the energy of formation from the pure elements: -0.306 eV/atom. The value obtained for the total magnetization is 0.00 μB/f.u.

11.
Nd2Ni5B4 after structural relaxation. Source: Alexandria, functional GGA-PBE.

The space group is C2/m (No. 12) and the conventional cell measures 9.815, 5.108 and 6.798 Å, with angles of 90.00, 125.90 and 90.00 degrees. The inequivalent atoms are Nd at (0.225, 0.000, 0.149), Ni at (0.000, 0.500, 0.000), Ni at (0.075, 0.248, 0.372), B at (0.099, 0.000, 0.640) and B at (0.222, 0.500, 0.340).

As for the energy of formation from the pure elements: -0.466 eV/atom. The value obtained for the total magnetization is 0.00 μB/f.u.

12.
K5VSe8 after structural relaxation. Source: Alexandria, functional GGA-PBE.

The space group is I-4 (No. 82) and the conventional cell measures 10.078, 10.078 and 10.638 Å, with angles of 90.00, 90.00 and 90.00 degrees. The inequivalent atoms are K at (0.000, 0.000, 0.000), K at (0.152, 0.248, 0.431), V at (0.000, 0.500, 0.250), Se at (0.046, 0.106, 0.710) and Se at (0.105, 0.346, 0.126).

The value obtained for the total magnetization is 2.13 μB/f.u. For the total energy, the calculation gives -3.82 eV per atom.

Look up the total magnetization of the third one. 0.00 μB/f.u.

Look up the total magnetization of the eighth one. 0.00 μB/f.u.

total magnetization of number 7 (SmTm3N4)? 0.00 μB/f.u.